NaMg2SnIr | PBE | relaxed

Lattice parameters (Å, degrees): 4.979 4.979 5.284 90.00 90.00 90.00
Positions (direct):
Na (0.000, 0.000, 0.000)
Mg (0.000, 0.500, 0.500)
Mg (0.500, 0.000, 0.500)
Sn (0.500, 0.500, 0.000)
Ir (0.000, 0.000, 0.500)

## Properties
Its formation energy is 1.46 eV per formula unit. The symmetry is P4/mmm. The total energy is -3.1821 eV per atom.